The following is a PBE calculation of a relaxed Mg2SbCl2 crystal, from the Alexandria database.

It has space group P4/mbm (No. 127), with a = 9.0270 Å, b = 9.0270 Å, c = 3.3715 Å, α = 90.00°, β = 90.00° and γ = 90.00°. The distinct sites, in fractional coordinates, are Mg at (0.2468, 0.2532, 0.0000), Sb at (0.0000, 0.0000, 0.5000) and Cl at (0.1159, 0.3841, 0.5000).

The calculation puts the total energy at -2.76 eV/atom. The value obtained for the energy relative to the elements, uncorrected is -0.5546 eV/atom. The value obtained for the density is 2.9 g cm⁻³.

=====

The following is a PBE calculation of a relaxed SmDyPd2 crystal, from the Alexandria database.

It has space group Fm-3m (No. 225), with a = 7.0983 Å, b = 7.0983 Å, c = 7.0983 Å, α = 90.00°, β = 90.00° and γ = 90.00°. The distinct sites, in fractional coordinates, are Sm at (0.0000, 0.0000, 0.0000), Dy at (0.0000, 0.0000, 0.5000) and Pd at (0.2500, 0.2500, 0.2500).

The calculation puts the total energy at -5.76 eV/atom. Its formation energy is -0.8308 eV/atom. As for the polymorph energy (0 for the lowest one): 0.050 eV per atom. The value obtained for the density is 9.8 g cm⁻³.

=====

The following is a PBE calculation of a relaxed Ca2RhBr crystal, from the Alexandria database.

It has space group Amm2 (No. 38), with a = 4.8136 Å, b = 3.6455 Å, c = 10.9226 Å, α = 90.00°, β = 90.00° and γ = 90.00°. The distinct sites, in fractional coordinates, are Ca at (0.0000, 0.0000, 0.0000), Ca at (0.5000, 0.0000, 0.2696), Rh at (0.0000, 0.0000, 0.7429) and Br at (0.5000, 0.0000, 0.5391).

The calculation puts the total energy at -4.03 eV/atom. The value obtained for the energy relative to the elements, uncorrected is -0.7726 eV/atom. As for the polymorph energy (0 for the lowest one): 0.153 eV per atom. The value obtained for the density is 4.6 g cm⁻³.

=====

The following is a PBE calculation of a relaxed Li8TlCd2 crystal, from the Alexandria database.

It has space group C2/m (No. 12), with a = 7.5402 Å, b = 14.0317 Å, c = 4.8773 Å, α = 90.00°, β = 125.97° and γ = 90.00°. The distinct sites, in fractional coordinates, are Li at (0.0000, 0.2049, 0.0000), Li at (0.0751, 0.5000, 0.7965), Li at (0.2229, 0.1230, 0.6877), Tl at (0.0000, 0.0000, 0.0000) and Cd at (0.0000, 0.3126, 0.5000).

The calculation puts the total energy at -1.90 eV/atom. Its formation energy is -0.1268 eV/atom. As for the polymorph energy (0 for the lowest one): 0.067 eV per atom. The value obtained for the density is 3.9 g cm⁻³.

=====

The following is a PBE calculation of a relaxed CaAl3Re crystal, from the Alexandria database.

It has space group Pm-3m (No. 221), with a = 5.1746 Å, b = 5.1746 Å, c = 5.1746 Å, α = 90.00°, β = 90.00° and γ = 90.00°. The distinct sites, in fractional coordinates, are Ca at (0.0000, 0.0000, 0.0000), Al at (0.0000, 0.0000, 0.5000) and Re at (0.5000, 0.5000, 0.5000).

The calculation puts the total energy at -2.94 eV/atom. Its formation energy is 2.1991 eV/atom. As for the polymorph energy (0 for the lowest one): 2.338 eV per atom. The value obtained for the density is 3.7 g cm⁻³.

=====

The following is a PBE calculation of a relaxed La2TbPr4 crystal, from the Alexandria database.

It has space group R-3m (No. 166, hexagonal axes), with a = 3.7247 Å, b = 3.7247 Å, c = 62.7249 Å, α = 90.00°, β = 90.00° and γ = 120.00°. The distinct sites, in fractional coordinates, are La at (0.0000, 0.0000, 0.0946), Tb at (0.0000, 0.0000, 0.0000), Pr at (0.0000, 0.0000, 0.1909) and Pr at (0.0000, 0.0000, 0.3798).

The calculation puts the total energy at -4.79 eV/atom. Its formation energy is 0.0076 eV/atom. As for the polymorph energy (0 for the lowest one): 0.000 eV per atom. The value obtained for the density is 6.6 g cm⁻³.

=====

The following is a PBE calculation of a relaxed Er5Bi2Pd crystal, from the Alexandria database.

It has space group Cmcm (No. 63), with a = 5.5104 Å, b = 15.3884 Å, c = 13.4574 Å, α = 90.00°, β = 90.00° and γ = 90.00°. The distinct sites, in fractional coordinates, are Er at (0.0000, 0.0862, 0.1153), Er at (0.0000, 0.2827, 0.7500), Er at (0.0000, 0.3032, 0.0462), Bi at (0.0000, 0.1174, 0.6085) and Pd at (0.0000, 0.2205, 0.2500).

The calculation puts the total energy at -4.70 eV/atom. Its formation energy is -0.2245 eV/atom. As for the polymorph energy (0 for the lowest one): 0.415 eV per atom. The value obtained for the density is 7.9 g cm⁻³.

=====

The following is a PBE calculation of a relaxed Sm2TeIr crystal, from the Alexandria database.

It has space group P4/mmm (No. 123), with a = 3.6616 Å, b = 3.6616 Å, c = 7.5255 Å, α = 90.00°, β = 90.00° and γ = 90.00°. The distinct sites, in fractional coordinates, are Sm at (0.0000, 0.0000, 0.2228), Te at (0.5000, 0.5000, 0.5000) and Ir at (0.5000, 0.5000, 0.0000).

The calculation puts the total energy at -6.24 eV/atom. The value obtained for the energy relative to the elements, uncorrected is -0.8830 eV/atom. As for the polymorph energy (0 for the lowest one): 0.130 eV per atom. The value obtained for the density is 10.2 g cm⁻³.

=====

The following is a PBE calculation of a relaxed HoNp5P6 crystal, from the Alexandria database.

It has space group C2/m (No. 12), with a = 6.8605 Å, b = 11.8947 Å, c = 6.8665 Å, α = 90.00°, β = 109.48° and γ = 90.00°. The distinct sites, in fractional coordinates, are Ho at (0.0000, 0.0000, 0.0000), Np at (0.0000, 0.1652, 0.5000), Np at (0.0000, 0.3331, 0.0000), Np at (0.0000, 0.5000, 0.5000), P at (0.2470, 0.5000, 0.2508) and P at (0.2479, 0.3317, 0.7487).

The calculation puts the total energy at -9.47 eV/atom. Its formation energy is -0.9948 eV/atom. The value obtained for the density is 9.7 g cm⁻³.

=====

The following is a PBE calculation of a relaxed Rb2PIr crystal, from the Alexandria database.

It has space group I-42d (No. 122), with a = 12.9867 Å, b = 12.9867 Å, c = 4.3921 Å, α = 90.00°, β = 90.00° and γ = 90.00°. The distinct sites, in fractional coordinates, are Rb at (0.0305, 0.2500, 0.1250), P at (0.0000, 0.0000, 0.0000) and Ir at (0.0000, 0.0000, 0.5000).

The calculation puts the total energy at -4.16 eV/atom. Its formation energy is -0.1097 eV/atom. The value obtained for the density is 3.5 g cm⁻³.

=====

The following is a PBE calculation of a relaxed BaIn2Mo crystal, from the Alexandria database.

It has space group Pm (No. 6), with a = 3.2631 Å, b = 4.6269 Å, c = 7.6059 Å, α = 90.00°, β = 90.02° and γ = 90.00°. The distinct sites, in fractional coordinates, are Ba at (0.0000, 0.0000, 0.0000), In at (0.5011, 0.5000, 0.3044), In at (0.5018, 0.0000, 0.5943) and Mo at (0.0017, 0.5000, 0.6120).

The calculation puts the total energy at -4.20 eV/atom. Its formation energy is 0.3569 eV/atom. As for the polymorph energy (0 for the lowest one): 0.122 eV per atom. The value obtained for the density is 6.7 g cm⁻³.

=====

The following is a PBE calculation of a relaxed BaPmSm2Se4 crystal, from the Alexandria database.

It has space group P2/m (No. 10), with a = 7.4652 Å, b = 4.2532 Å, c = 7.4744 Å, α = 90.00°, β = 108.82° and γ = 90.00°. The distinct sites, in fractional coordinates, are Ba at (0.0000, 0.0000, 0.0000), Pm at (0.5000, 0.5000, 0.0000), Sm at (0.0000, 0.5000, 0.5000), Sm at (0.5000, 0.0000, 0.5000), Se at (0.2575, 0.0000, 0.7395) and Se at (0.2684, 0.5000, 0.2700).

The calculation puts the total energy at -5.58 eV/atom. The value obtained for the energy relative to the elements, uncorrected is -1.8277 eV/atom. The value obtained for the density is 6.6 g cm⁻³.